This record from Alexandria via LeMat-Bulk describes an optimized crystal structure of In2Sn2Pb3. The functional is PBE.

* E_form: 55.0 meV per atom
* electronic total energy: -24.2 eV per formula unit
* calculated volume: 425.3 Å³ per cell

a b c (Å): 3.4788 29.1833 4.1894
angles (deg): 90.00 90.00 90.00
With the nearest neighbours (Å) after each atom.
Space group Cmmm (No. 65)
Symmetry-distinct sites (fractional):
In: 0.0000 0.2049 0.0000 (multiplicity 4)  4 In 3.16-3.48, 4 Sn 3.24
Sn: 0.0000 0.3553 0.5000 (multiplicity 4)  4 In 3.24, 4 Pb 3.37, 2 Sn 3.48
Pb: 0.0000 0.0766 0.0000 (multiplicity 4)  4 Sn 3.37, 6 Pb 3.48-3.52, 1 In 3.74
Pb: 0.0000 0.5000 0.5000 (multiplicity 2)  10 Pb 3.48-3.52